Be2Ni3Pd PBE-GGA relaxed; calculated total energy = -5.216 eV per atom
1.0
2.625 0.000 0.000
0.000 2.625 0.000
0.000 0.000 8.970
Be Ni Pd
2 3 1
direct
0.000 0.000 0.000 Be
0.500 0.500 0.475 Be
0.000 0.000 0.329 Ni
0.000 0.000 0.616 Ni
0.500 0.500 0.143 Ni
0.500 0.500 0.831 Pd